# Ac2La3SmS6

An optimized crystal structure of Ac2La3SmS6 (PBE, Alexandria via LeMat-Bulk).

Structure (CIF):
```
data_Ac2La3SmS6
_chemical_formula_sum 'Ac4 La6 Sm2 S12'
_symmetry_space_group_name_H-M 'C 1 2/m 1'
_symmetry_Int_Tables_number 12
_cell_length_a 7.2479
_cell_length_b 12.5685
_cell_length_c 7.2438
_cell_angle_alpha 90.00
_cell_angle_beta 109.63
_cell_angle_gamma 90.00
loop_
_symmetry_equiv_pos_as_xyz
'x,y,z'
'-x,-y,-z'
'-x,y,-z'
'x,-y,z'
'x+1/2,y+1/2,z'
'-x+1/2,-y+1/2,-z'
'-x+1/2,y+1/2,-z'
'x+1/2,-y+1/2,z'
loop_
_atom_site_label
_atom_site_type_symbol
_atom_site_fract_x
_atom_site_fract_y
_atom_site_fract_z
_atom_site_occupancy
Ac1 Ac 0.0000 0.1661 0.0000 1
La1 La 0.0000 0.0000 0.5000 1
La2 La 0.0000 0.3309 0.5000 1
Sm1 Sm 0.0000 0.5000 0.0000 1
S1 S 0.2373 0.5000 0.7451 1
S2 S 0.2449 0.3385 0.2515 1
```

**Magnetization**: 0.000 μB per cell
**V**: 25.9 Å³/atom
**Theoretical density**: 6.5 g/cm³
**Electronic total energy**: -6.46 eV per atom
**Formation energy (no corrections)**: -2411 kJ/mol of formula units